Computed, not measured: a relaxed Hf2FeHRh crystal at the GGA-PBE level of DFT.

The density of states at the Fermi level is 2.650 states/eV/f.u. The value obtained for the relative energy among the computed polymorphs is 0 meV per atom. Its size of the total moment is 0.66 μB/f.u.

The space group is P4/mmm (No. 123) and the conventional cell measures 4.472, 4.472 and 3.414 Å, with angles of 90.00, 90.00 and 90.00 degrees. Symmetry generates all atoms from Hf at (0.000, 0.500, 0.000), Fe at (0.000, 0.000, 0.500), H at (0.000, 0.000, 0.000) and Rh at (0.500, 0.500, 0.500).